DFT (PBE) results for Ho6SnGe2Se3 after structural relaxation.

Geometry as POSCAR:
```
Ho6SnGe2Se3
1.0
-1.839 -3.695 -0.147
4.263 -1.845 -6.969
6.345 -1.116 6.721
Ge Se Ho Sn
2 3 6 1
Cartesian
5.536 -5.052 -0.281
3.233 -1.604 -0.113
5.347 -2.518 -3.594
1.212 -2.770 -3.558
3.422 -4.138 3.200
1.340 -3.035 1.509
7.429 -3.621 -1.903
1.150 -0.503 -1.760
5.378 -2.732 1.412
3.392 -3.924 -1.806
7.619 -6.153 1.365
-0.919 -1.847 -0.073
```

Its space-group type is C2/m (12). The value obtained for the density of states at the Fermi level is 3.00 states/eV/f.u. Its uncorrected formation energy is -1.3100 eV/atom.